A relaxed structure of TbFeAs2O8, computed with PBE+U.

Spin magnetization = 5.046 μB/cell
E_tot = -80.2 eV/cell
SG = I-4m2, No. 119

Cell: 5.8359 5.8359 5.8359 Å, 106.48 106.48 115.65°
Each line ends with the local moment (μB).
Atoms (fractional coordinates):
Tb: 0.0000 0.0000 0.0000  0.01
Fe: 0.2500 0.7500 0.5000  4.37
As: 0.7500 0.2500 0.5000  0.00
As: 0.5000 0.5000 0.0000  0.02
O: 0.3821 0.0597 0.3223  0.07
O: 0.3208 0.5101 0.1893  0.06
O: 0.3208 0.1315 0.8107  0.06
O: 0.7374 0.0597 0.6777  0.07
O: 0.8685 0.6792 0.1893  0.06
O: 0.9403 0.2626 0.3223  0.07
O: 0.9403 0.6179 0.6777  0.07
O: 0.4899 0.6792 0.8107  0.06